Entry 1:
DFT (GGA-PBE) results for AlCoCuPt after structural relaxation.

ΔE to the lowest computed polymorph in meV/atom: 0
SG: No. 216
M_tot in μB/f.u.: 0.27

a b c (Å): 4.174 4.174 4.174
angles (deg): 60.00 60.00 60.00
Each line ends with the local moment (μB).
Element x y z (fractional)
Cu1 0.500 0.500 0.500  -0.01
Al1 0.000 0.000 0.000  -0.01
Co1 0.750 0.750 0.750  0.29
Pt1 0.250 0.250 0.250  -0.01

---

Entry 2:
DFT (GGA-PBE) results for AlCoCuRe after structural relaxation.

ΔE to the lowest computed polymorph in meV/atom: 0
SG: No. 216
M_tot in μB/f.u.: 1.88

a b c (Å): 4.164 4.164 4.164
angles (deg): 60.00 60.00 60.00
Element x y z (fractional)
Cu1 0.250 0.250 0.250
Re1 0.500 0.500 0.500
Al1 0.000 0.000 0.000
Co1 0.750 0.750 0.750

---

Entry 3:
DFT (GGA-PBE) results for AlCoCuRe after structural relaxation.

ΔE to the lowest computed polymorph in meV/atom: 125
SG: No. 216
M_tot in μB/f.u.: 1.92

a b c (Å): 4.171 4.171 4.171
angles (deg): 60.00 60.00 60.00
Each line ends with the local moment (μB).
Element x y z (fractional)
Co1 0.750 0.750 0.750  0.97
Cu1 0.500 0.500 0.500  0.16
Al1 0.000 0.000 0.000  0.00
Re1 0.250 0.250 0.250  0.82

---

Entry 4:
DFT (GGA-PBE) results for AlCoCuSb after structural relaxation.

ΔE to the lowest computed polymorph in meV/atom: 0
SG: No. 216
M_tot in μB/f.u.: 0.00

a b c (Å): 4.370 4.370 4.370
angles (deg): 60.00 60.00 60.00
Element x y z (fractional)
Al1 0.000 0.000 0.000
Cu1 0.750 0.750 0.750
Sb1 0.500 0.500 0.500
Co1 0.250 0.250 0.250

---

Entry 5:
DFT (GGA-PBE) results for ScAl2CoCu4 after structural relaxation.

ΔE to the lowest computed polymorph in meV/atom: 0
SG: No. 141
M_tot in μB/f.u.: 0.02

a b c (Å): 7.381 7.381 7.381
angles (deg): 132.63 132.63 69.24
Element x y z (fractional)
Cu1 0.375 0.399 0.524
Al1 0.492 0.492 0.000
Cu2 0.101 0.125 0.476
Cu3 0.101 0.625 0.976
Sc1 0.250 0.250 0.000
Cu4 0.375 0.851 0.976
Al2 0.008 0.008 0.000
Cu5 0.649 0.125 0.024
Co1 0.000 0.500 0.500
Al3 0.258 0.758 0.500
Cu6 0.875 0.399 0.024
Al4 0.742 0.242 0.500
Co2 0.750 0.750 0.000
Cu7 0.649 0.625 0.524
Sc2 0.500 0.000 0.500
Cu8 0.875 0.851 0.476

---

Entry 6:
DFT (GGA-PBE) results for ScAlCoCu after structural relaxation.

ΔE to the lowest computed polymorph in meV/atom: 0
SG: No. 216
M_tot in μB/f.u.: 0.24

a b c (Å): 4.302 4.302 4.302
angles (deg): 60.00 60.00 60.00
Each line ends with the local moment (μB).
Element x y z (fractional)
Co1 0.250 0.250 0.250  0.24
Cu1 0.750 0.750 0.750  0.01
Al1 0.000 0.000 0.000  0.00
Sc1 0.500 0.500 0.500  -0.02